A plane-wave DFT calculation with PBE was carried out for SnPbSe3 after structural relaxation.

- Fermi-level density of states: 0.02 states/eV per cell
- M_tot: 0.00 μB/cell
- Electronic total energy: -40.04 eV for the cell shown
- Symmetry: P2_1/m, No. 11
- E_form (uncorrected): -0.371 eV/atom
- V: 288.0 Å³/cell
- Energy relative to the lowest polymorph listed for this composition: 0 kJ/mol of formula units

Cell and atoms, written as POSCAR:
```
SnPbSe3
1.0
4.053 0.000 0.000
0.000 7.903 0.328
0.000 -1.425 8.931
Sn Pb Se
2 2 6
Direct
0.250 0.827 0.369 Sn
0.750 0.173 0.631 Sn
0.250 0.384 0.160 Pb
0.750 0.616 0.840 Pb
0.750 0.603 0.409 Se
0.250 0.397 0.591 Se
0.750 0.277 0.940 Se
0.250 0.937 0.670 Se
0.250 0.723 0.060 Se
0.750 0.063 0.330 Se
```